A PBEsol-optimized structure of BeOs2Se, computed with SCAN.

total energy = -41.630 eV/atom
E_form (uncorrected) = 0.42 eV per atom
energy above the lowest structure with this stoichiometry = 107 meV per atom
magnetization = 0.0 μB per formula unit

abc: 4.1927 2.8654 4.8595
angles: 90.00 114.69 90.00
Space group P2/m (No. 10)
One atom of each set of equivalent atoms:
Be 0.0000 0.0000 0.0000 x1
Os 0.5000 0.0000 0.5000 x1
Os 0.5000 0.5000 0.0000 x1
Se 0.0000 0.5000 0.5000 x1

***

A PBEsol-optimized structure of BeOsSe4, computed with SCAN.

total energy = -24.372 eV/atom
E_form (uncorrected) = 1.72 eV per atom
magnetization = 1.6 μB per formula unit

abc: 7.5845 7.5845 7.5845
angles: 90.00 90.00 90.00
Space group F-43m (No. 216)
One atom of each set of equivalent atoms:
Be 0.0000 0.0000 0.0000 x4
Os 0.2500 0.2500 0.2500 x4
Se 0.1252 0.1252 0.6252 x16

***

A PBEsol-optimized structure of BeOs2Se, computed with SCAN.

total energy = -41.737 eV/atom
E_form (uncorrected) = 0.31 eV per atom
energy above the lowest structure with this stoichiometry = 0 meV per atom
magnetization = 0.0 μB per formula unit

abc: 2.8406 2.8406 7.6937
angles: 90.00 90.00 90.00
Space group P4mm (No. 99)
One atom of each set of equivalent atoms:
Be 0.0000 0.0000 0.0000 x1
Os 0.0000 0.0000 0.3915 x1
Os 0.5000 0.5000 0.1544 x1
Se 0.5000 0.5000 0.6013 x1

***

A PBEsol-optimized structure of BeOs2Se, computed with SCAN.

total energy = -41.669 eV/atom
E_form (uncorrected) = 0.38 eV per atom
energy above the lowest structure with this stoichiometry = 67 meV per atom
magnetization = 0.0 μB per formula unit

abc: 3.0181 3.0181 5.7375
angles: 90.00 90.00 90.00
Space group P4mm (No. 99)
One atom of each set of equivalent atoms:
Be 0.0000 0.0000 0.0000 x1
Os 0.0000 0.0000 0.4770 x1
Os 0.5000 0.5000 0.1494 x1
Se 0.5000 0.5000 0.7229 x1

***

A PBEsol-optimized structure of BeSi2Os, computed with SCAN.

total energy = -23.687 eV/atom
E_form (uncorrected) = 0.38 eV per atom
magnetization = 0.0 μB per formula unit

abc: 2.8008 4.7969 7.7564
angles: 90.00 90.00 90.00
Space group Cmmm (No. 65)
One atom of each set of equivalent atoms:
Be 0.0000 0.0000 0.0000 x2
Si 0.0000 0.5000 0.2422 x4
Os 0.0000 0.0000 0.5000 x2

***

A PBEsol-optimized structure of BeSi2Os, computed with SCAN.

total energy = -24.154 eV/atom
E_form (uncorrected) = -0.09 eV per atom
magnetization = 0.0 μB per formula unit

abc: 8.0111 2.8886 4.2270
angles: 90.00 97.82 90.00
Space group C2/m (No. 12)
One atom of each set of equivalent atoms:
Be 0.0000 0.0000 0.0000 x2
Si 0.2411 0.0000 0.7535 x4
Os 0.0000 0.5000 0.5000 x2

***

A PBEsol-optimized structure of Be2SiOs, computed with SCAN.

total energy = -22.453 eV/atom
E_form (uncorrected) = 0.20 eV per atom
magnetization = 0.0 μB per formula unit

abc: 2.7157 2.7157 22.0421
angles: 90.00 90.00 120.00
Space group R3m (No. 160, hexagonal axes)
One atom of each set of equivalent atoms:
Be 0.0000 0.0000 0.0000 x3
Be 0.0000 0.0000 0.2537 x3
Si 0.0000 0.0000 0.5042 x3
Os 0.0000 0.0000 0.7503 x3

***

A PBEsol-optimized structure of BeSi2Os, computed with SCAN.

total energy = -24.002 eV/atom
E_form (uncorrected) = 0.06 eV per atom
magnetization = 0.0 μB per formula unit

abc: 2.8164 2.8164 22.1061
angles: 90.00 90.00 120.00
Space group R-3m (No. 166, hexagonal axes)
One atom of each set of equivalent atoms:
Be 0.0000 0.0000 0.0000 x3
Si 0.0000 0.0000 0.2517 x6
Os 0.0000 0.0000 0.5000 x3

***

A PBEsol-optimized structure of BeSi3Os, computed with SCAN.

total energy = -20.055 eV/atom
E_form (uncorrected) = 1.20 eV per atom
magnetization = 0.0 μB per formula unit

abc: 4.0882 4.0882 4.0882
angles: 90.00 90.00 90.00
Space group Pm-3m (No. 221)
One atom of each set of equivalent atoms:
Be 0.0000 0.0000 0.0000 x1
Si 0.0000 0.0000 0.5000 x3
Os 0.5000 0.5000 0.5000 x1

***

A PBEsol-optimized structure of BeSi2Os, computed with SCAN.

total energy = -24.055 eV/atom
E_form (uncorrected) = 0.01 eV per atom
magnetization = 0.0 μB per formula unit

abc: 3.6130 3.6130 7.2303
angles: 90.00 90.00 90.00
Space group I-4m2 (No. 119)
One atom of each set of equivalent atoms:
Be 0.0000 0.0000 0.0000 x2
Si 0.0000 0.0000 0.5000 x2
Si 0.0000 0.5000 0.7500 x2
Os 0.0000 0.5000 0.2500 x2

***

A PBEsol-optimized structure of Be2SiOs, computed with SCAN.

total energy = -22.395 eV/atom
E_form (uncorrected) = 0.26 eV per atom
magnetization = 0.0 μB per formula unit

abc: 2.8525 4.4336 7.4793
angles: 90.00 90.00 90.00
Space group Cmmm (No. 65)
One atom of each set of equivalent atoms:
Be 0.0000 0.0000 0.2394 x4
Si 0.0000 0.5000 0.5000 x2
Os 0.0000 0.5000 0.0000 x2

***

A PBEsol-optimized structure of BeSi2Os, computed with SCAN.

total energy = -23.956 eV/atom
E_form (uncorrected) = 0.11 eV per atom
magnetization = 0.0 μB per formula unit

abc: 3.6419 3.6419 3.5811
angles: 90.00 90.00 90.00
Space group P4/mmm (No. 123)
One atom of each set of equivalent atoms:
Be 0.0000 0.0000 0.0000 x1
Si 0.0000 0.5000 0.5000 x2
Os 0.5000 0.5000 0.0000 x1

***

A PBEsol-optimized structure of BeSi2TeOs, computed with SCAN.

total energy = -25.875 eV/atom
E_form (uncorrected) = 0.83 eV per atom
magnetization = 0.0 μB per formula unit

abc: 4.4280 4.4280 5.9095
angles: 90.00 90.00 90.00
Space group P4/mmm (No. 123)
One atom of each set of equivalent atoms:
Be 0.0000 0.0000 0.0000 x1
Si 0.0000 0.5000 0.5000 x2
Te 0.5000 0.5000 0.0000 x1
Os 0.5000 0.5000 0.5000 x1

***

A PBEsol-optimized structure of SrBeOs2, computed with SCAN.

total energy = -41.547 eV/atom
calculated formation energy = 101.3 kJ/mol of atoms
magnetization = 0.0 μB per formula unit

abc: 2.8834 4.7133 4.7374
angles: 90.00 90.00 90.00
Space group Pmmm (No. 47)
One atom of each set of equivalent atoms:
Sr 0.0000 0.0000 0.0000 x1
Be 0.5000 0.5000 0.0000 x1
Os 0.0000 0.5000 0.5000 x1
Os 0.5000 0.0000 0.5000 x1

***

A PBEsol-optimized structure of SrBeOs2, computed with SCAN.

total energy = -41.551 eV/atom
calculated formation energy = 101.0 kJ/mol of atoms
magnetization = 0.0 μB per formula unit

abc: 5.4862 9.4579 2.7536
angles: 90.00 116.62 90.00
Space group C2/m (No. 12)
One atom of each set of equivalent atoms:
Sr 0.0000 0.0000 0.0000 x2
Be 0.0000 0.5000 0.0000 x2
Os 0.2500 0.2500 0.5000 x4

***

A PBEsol-optimized structure of SrBeOs2, computed with SCAN.

total energy = -41.444 eV/atom
calculated formation energy = 111.3 kJ/mol of atoms
magnetization = 0.5 μB per formula unit

abc: 3.8379 3.8379 4.4719
angles: 90.00 90.00 90.00
Space group P4/mmm (No. 123)
One atom of each set of equivalent atoms:
Sr 0.0000 0.0000 0.0000 x1
Be 0.5000 0.5000 0.0000 x1
Os 0.0000 0.5000 0.5000 x2

***

A PBEsol-optimized structure of SrBeOs2, computed with SCAN.

total energy = -41.919 eV/atom
calculated formation energy = 65.4 kJ/mol of atoms
magnetization = 0.0 μB per formula unit

abc: 2.7863 4.0135 6.3110
angles: 90.00 101.98 90.00
Space group P2/m (No. 10)
One atom of each set of equivalent atoms:
Sr 0.0000 0.0000 0.0000 x1
Be 0.5000 0.0000 0.5000 x1
Os 0.3197 0.5000 0.6700 x2

***

A PBEsol-optimized structure of SrBeOs2, computed with SCAN.

total energy = -41.627 eV/atom
calculated formation energy = 93.6 kJ/mol of atoms
magnetization = 0.0 μB per formula unit

abc: 6.3626 6.3626 6.3626
angles: 90.00 90.00 90.00
Space group F-43m (No. 216)
One atom of each set of equivalent atoms:
Sr 0.0000 0.0000 0.0000 x4
Be 0.2500 0.2500 0.7500 x4
Os 0.0000 0.0000 0.5000 x4
Os 0.2500 0.2500 0.2500 x4

***

A PBEsol-optimized structure of SrTa2BeOs, computed with SCAN.

total energy = -43.051 eV/atom
calculated formation energy = 316.9 kJ/mol of atoms
magnetization = 1.5 μB per formula unit

abc: 4.7229 4.7229 4.1719
angles: 90.00 90.00 90.00
Space group P4/mmm (No. 123)
One atom of each set of equivalent atoms:
Sr 0.0000 0.0000 0.0000 x1
Ta 0.0000 0.5000 0.0000 x2
Be 0.0000 0.0000 0.5000 x1
Os 0.5000 0.5000 0.5000 x1

***

A PBEsol-optimized structure of TaBe4Os, computed with SCAN.

total energy = -26.468 eV/atom
calculated formation energy = -47.1 kJ/mol of atoms
magnetization = 0.0 μB per formula unit

abc: 6.2523 6.2523 6.2523
angles: 90.00 90.00 90.00
Space group F-43m (No. 216)
One atom of each set of equivalent atoms:
Ta 0.0000 0.0000 0.0000 x4
Be 0.1259 0.1259 0.3741 x16
Os 0.2500 0.2500 0.7500 x4